RbNiRu2O8: optimized geometry, GGA+U.

Cell lengths 5.297, 5.297, 8.250 Å; angles 85.23, 85.23, 66.10 degrees
Fractional positions:
Ni: 0.000 0.000 0.000
O: 0.318 0.318 0.604
O: 0.230 0.230 0.959
O: 0.745 0.235 0.820
O: 0.682 0.682 0.396
O: 0.255 0.765 0.180
O: 0.235 0.745 0.820
O: 0.765 0.255 0.180
O: 0.770 0.770 0.041
Ru: 0.621 0.621 0.200
Ru: 0.379 0.379 0.800
Rb: 0.000 0.000 0.500

Calculated values
Density of states at the Fermi level: 0.67 states/eV per atom
Electronic total energy: -73.0 eV per cell